*1*
First-principles (PBE) data for a relaxed Tl3PdPb crystal, as listed in the Alexandria database.

Cell lengths 5.367, 5.367, 5.367 Å; angles 90.00, 90.00, 90.00 degrees
Atoms (fractional coordinates):
Tl: 0.000 0.500 0.000
Pb: 0.500 0.500 0.500
Tl: 0.500 0.000 0.000
Tl: 0.000 0.000 0.500
Pd: 0.000 0.000 0.000

Space-group type ... No. 221
Total moment ... 0.0 Bohr magnetons per cell
Calculated volume ... 30.92 A^3/atom

---

*2*
First-principles (PBE) data for a relaxed Tl3PdPb crystal, as listed in the Alexandria database.

Cell lengths 3.643, 8.560, 9.492 Å; angles 107.96, 101.06, 90.00 degrees
Atoms (fractional coordinates):
Tl: 0.897 0.414 0.794
Pd: 0.080 0.025 0.160
Pb: 0.477 0.781 0.954
Tl: 0.676 0.927 0.351
Tl: 0.324 0.073 0.649
Pd: 0.920 0.975 0.840
Tl: 0.787 0.681 0.574
Tl: 0.213 0.319 0.426
Tl: 0.103 0.586 0.206
Pb: 0.523 0.219 0.046

Space-group type ... No. 12
Total moment ... 0.0 Bohr magnetons per cell
Calculated volume ... 27.58 A^3/atom

---

Stability, descending: *2*, *1*

---

*1*
First-principles (PBE) data for a relaxed Tl2Pd4Pb crystal, as listed in the Alexandria database.

Cell lengths 4.527, 10.680, 11.560 Å; angles 90.00, 90.00, 90.00 degrees
Atoms (fractional coordinates):
Pd: 0.250 0.679 0.285
Pb: 0.750 0.281 0.331
Pd: 0.750 0.832 0.542
Pd: 0.750 0.515 0.180
Tl: 0.750 0.598 0.914
Pd: 0.750 0.321 0.715
Pd: 0.250 0.930 0.161
Pd: 0.750 0.070 0.839
Pd: 0.250 0.179 0.215
Tl: 0.750 0.098 0.586
Tl: 0.250 0.902 0.920
Pd: 0.750 0.332 0.958
Pd: 0.250 0.985 0.680
Tl: 0.750 0.598 0.420
Tl: 0.250 0.402 0.580
Pd: 0.750 0.570 0.661
Pd: 0.250 0.668 0.042
Pd: 0.250 0.430 0.339
Pd: 0.750 0.015 0.320
Pb: 0.250 0.219 0.831
Pd: 0.250 0.168 0.458
Pd: 0.750 0.821 0.785
Tl: 0.250 0.902 0.414
Pb: 0.250 0.719 0.669
Pd: 0.250 0.485 0.820
Tl: 0.750 0.098 0.080
Tl: 0.250 0.402 0.086
Pb: 0.750 0.781 0.169

Space-group type ... No. 62
Total moment ... 0.0 Bohr magnetons per cell
Calculated volume ... 19.96 A^3/atom

---

*2*
First-principles (PBE) data for a relaxed Tl2Pd4Pb crystal, as listed in the Alexandria database.

Cell lengths 4.642, 4.642, 8.307 Å; angles 73.78, 73.78, 60.00 degrees
Atoms (fractional coordinates):
Tl: 0.762 0.762 0.713
Pd: 0.619 0.619 0.144
Pb: 0.000 0.000 0.000
Pd: 0.121 0.121 0.638
Pd: 0.381 0.381 0.856
Tl: 0.238 0.238 0.287
Pd: 0.879 0.879 0.362

Space-group type ... No. 166
Total moment ... 0.0 Bohr magnetons per cell
Calculated volume ... 20.96 A^3/atom

---

Stability, descending: *1*, *2*

---

*1*
First-principles (PBE) data for a relaxed Tl2Pd5Pb2 crystal, as listed in the Alexandria database.

Cell lengths 3.233, 7.108, 9.850 Å; angles 81.15, 99.61, 90.09 degrees
Atoms (fractional coordinates):
Pd: 0.942 0.397 0.888
Pd: 0.000 0.000 0.000
Pd: 0.300 0.889 0.598
Tl: 0.155 0.818 0.317
Tl: 0.845 0.182 0.683
Pd: 0.700 0.111 0.402
Pd: 0.058 0.603 0.112
Pb: 0.566 0.266 0.129
Pb: 0.434 0.734 0.871

Space-group type ... No. 2
Total moment ... 0.0 Bohr magnetons per cell
Calculated volume ... 24.49 A^3/atom

---

*2*
First-principles (PBE) data for a relaxed Tl2Pd5Pb2 crystal, as listed in the Alexandria database.

Cell lengths 4.905, 7.013, 7.313 Å; angles 117.44, 90.00, 110.47 degrees
Atoms (fractional coordinates):
Pd: 0.918 0.836 0.573
Pd: 0.082 0.164 0.427
Pb: 0.343 0.686 0.646
Pd: 0.416 0.832 0.079
Tl: 0.833 0.667 0.142
Tl: 0.167 0.333 0.858
Pb: 0.657 0.314 0.354
Pd: 0.584 0.168 0.921
Pd: 0.000 0.000 0.000

Space-group type ... No. 12
Total moment ... 0.0 Bohr magnetons per cell
Calculated volume ... 22.80 A^3/atom

---

Stability, descending: *2*, *1*

---

*1*
First-principles (PBE) data for a relaxed TlPd8Pb2 crystal, as listed in the Alexandria database.

Cell lengths 4.174, 6.562, 7.794 Å; angles 107.99, 105.53, 90.00 degrees
Atoms (fractional coordinates):
Pd: 0.587 0.459 0.174
Tl: 0.500 0.000 0.000
Pd: 0.674 0.919 0.347
Pd: 0.964 0.269 0.929
Pd: 0.853 0.795 0.706
Pb: 0.789 0.338 0.579
Pd: 0.413 0.541 0.826
Pd: 0.326 0.081 0.653
Pd: 0.147 0.205 0.294
Pb: 0.211 0.662 0.421
Pd: 0.036 0.731 0.071

Space-group type ... No. 12
Total moment ... 0.0 Bohr magnetons per cell
Calculated volume ... 17.71 A^3/atom

---

*2*
First-principles (PBE) data for a relaxed TlPd8Pb2 crystal, as listed in the Alexandria database.

Cell lengths 4.116, 7.878, 7.615 Å; angles 121.15, 105.68, 90.00 degrees
Atoms (fractional coordinates):
Pd: 0.167 0.167 0.334
Pd: 0.833 0.833 0.666
Pd: 0.334 0.087 0.668
Pd: 0.000 0.254 0.000
Pb: 0.839 0.339 0.679
Pd: 0.000 0.746 0.000
Pd: 0.666 0.913 0.332
Pd: 0.334 0.582 0.668
Pd: 0.666 0.418 0.332
Pb: 0.161 0.661 0.321
Tl: 0.500 0.000 0.000

Space-group type ... No. 71
Total moment ... 0.0 Bohr magnetons per cell
Calculated volume ... 18.23 A^3/atom

---

Stability, descending: *2*, *1*

---

*1*
First-principles (PBE) data for a relaxed TlPd6Pb3 crystal, as listed in the Alexandria database.

Cell lengths 4.660, 8.831, 10.450 Å; angles 113.89, 90.00, 90.00 degrees
Atoms (fractional coordinates):
Pb: 0.750 0.225 0.015
Pb: 0.250 0.306 0.783
Pd: 0.250 0.294 0.496
Pd: 0.250 0.487 0.079
Tl: 0.250 0.914 0.556
Pd: 0.750 0.706 0.504
Pd: 0.250 0.942 0.288
Pd: 0.750 0.513 0.921
Tl: 0.750 0.086 0.444
Pb: 0.750 0.694 0.217
Pb: 0.750 0.485 0.644
Pd: 0.250 0.669 0.665
Pd: 0.750 0.331 0.335
Pd: 0.250 0.015 0.859
Pd: 0.750 0.058 0.712
Pd: 0.750 0.817 0.837
Pb: 0.250 0.515 0.356
Pd: 0.750 0.985 0.141
Pd: 0.250 0.183 0.163
Pb: 0.250 0.775 0.985

Space-group type ... No. 11
Total moment ... 0.0 Bohr magnetons per cell
Calculated volume ... 19.66 A^3/atom

---

*2*
First-principles (PBE) data for a relaxed TlPd6Pb3 crystal, as listed in the Alexandria database.

Cell lengths 5.782, 8.435, 8.435 Å; angles 99.05, 90.00, 90.00 degrees
Atoms (fractional coordinates):
Pb: 0.018 0.136 0.276
Pb: 0.018 0.724 0.864
Tl: 0.972 0.195 0.805
Pd: 0.841 0.974 0.521
Pb: 0.737 0.591 0.409
Pb: 0.518 0.864 0.724
Pd: 0.984 0.785 0.215
Pd: 0.341 0.521 0.974
Pd: 0.841 0.479 0.026
Pd: 0.246 0.008 0.992
Pd: 0.746 0.992 0.008
Pd: 0.164 0.470 0.271
Pd: 0.341 0.026 0.479
Pd: 0.664 0.271 0.470
Pb: 0.237 0.409 0.591
Pd: 0.484 0.215 0.785
Tl: 0.472 0.805 0.195
Pb: 0.518 0.276 0.136
Pd: 0.164 0.729 0.530
Pd: 0.664 0.530 0.729

Space-group type ... No. 36
Total moment ... 0.0 Bohr magnetons per cell
Calculated volume ... 20.31 A^3/atom

---

Stability, descending: *1*, *2*

---

*1*
First-principles (PBE) data for a relaxed TlPd5Pb crystal, as listed in the Alexandria database.

Cell lengths 4.108, 4.108, 7.760 Å; angles 90.00, 90.00, 90.00 degrees
Atoms (fractional coordinates):
Pd: 0.000 0.500 0.759
Pd: 0.000 0.500 0.241
Pb: 0.500 0.500 0.000
Pd: 0.500 0.500 0.500
Pd: 0.500 0.000 0.759
Tl: 0.000 0.000 0.500
Pd: 0.500 0.000 0.241

Space-group type ... No. 123
Total moment ... 0.0 Bohr magnetons per cell
Calculated volume ... 18.71 A^3/atom

---

*2*
First-principles (PBE) data for a relaxed TlPd5Pb crystal, as listed in the Alexandria database.

Cell lengths 7.580, 5.372, 5.804 Å; angles 117.57, 130.77, 90.00 degrees
Atoms (fractional coordinates):
Pd: 0.396 0.189 0.377
Pd: 0.548 0.756 0.000
Pd: 0.548 0.244 0.000
Tl: 0.878 0.000 0.000
Pb: 0.243 0.500 0.000
Pd: 0.898 0.500 0.000
Pd: 0.019 0.811 0.623

Space-group type ... No. 44
Total moment ... 0.0 Bohr magnetons per cell
Calculated volume ... 20.24 A^3/atom

---

Stability, descending: *1*, *2*